Entry from the Alexandria database: a relaxed structure of Cs3DySc2Se6 (PBE-GGA).

The structure in extended XYZ format:
```
12
Lattice="3.5848 -6.2086 0.0000 3.5848 6.2086 0.0000 -2.3925 0.0000 8.3095" Properties=species:S:1:pos:R:3 pbc="T T T"
Cs 0.0000 0.0000 0.0000
Cs 3.5848 2.0383 0.0000
Cs 3.5848 -2.0383 0.0000
Dy 2.3885 0.0000 4.1548
Sc 2.3885 4.1371 4.1548
Sc 2.3885 -4.1371 4.1548
Se 1.1521 2.1427 2.6590
Se -0.0856 0.0000 5.6412
Se 1.1521 -2.1427 2.6590
Se 3.6250 2.1427 5.6505
Se 4.8626 0.0000 2.6683
Se 3.6250 -2.1427 5.6505
```

total energy	-5.011	eV per atom
crystal system	monoclinic
size of the total moment	0.00	μB per cell